Compound: InAuSe2
Source: Alexandria
Functional: GGA-PBE
Structure: optimized geometry

Cell lengths 4.367, 4.367, 7.173 Å; angles 90.00, 90.00, 120.00 degrees
Atoms (fractional coordinates):
1 In 0.000 0.000 0.000
2 Au 0.667 0.333 0.380
3 Se 0.000 0.000 0.368
4 Se 0.333 0.667 0.855

The formation energy from raw total energies comes out at -0.2822 eV/atom. As for the theoretical density: 6.58 g/cm3. The total energy comes out at -3.5284 eV/atom.